VASP calculation (PBE-GGA) on Th2Al3ZnAg4 after structural relaxation.

```
Th2Al3ZnAg4
1.0
-3.616 -0.903 -2.386
1.962 -3.629 -1.600
-3.904 -5.665 8.059
Th Al Zn Ag
2 3 1 4
Direct
0.500 0.000 0.251
0.000 0.500 0.749
0.000 0.000 0.500
0.500 0.000 0.865
0.000 0.500 0.135
0.500 0.500 0.500
0.500 0.500 0.000
0.000 0.000 0.000
0.500 0.000 0.629
0.000 0.500 0.371
```

Final energy ... -4.12 eV per atom
ΔH_f (0 K) ... -0.25 eV per atom
Crystal system ... tetragonal
Fermi-level density of states ... 5.4 states/eV/f.u.
Magnetization ... 0.0 μB per cell

VASP calculation (PBE-GGA) on GaSi2PPt after structural relaxation.

```
GaSi2PPt
1.0
4.625 0.000 0.000
0.000 4.739 0.000
0.000 0.000 4.625
P Si Ga Pt
1 2 1 1
Direct
0.500 0.500 0.500
0.000 0.000 0.500
0.500 0.000 0.000
0.000 0.000 0.000
0.000 0.500 0.000
```

Final energy ... -3.97 eV per atom
Crystal system ... tetragonal
Formation energy from raw total energies ... 25.142 kcal/mol of atoms
Fermi-level density of states ... 2.8 states/eV/f.u.
Magnetization ... 0.0 μB per cell

VASP calculation (PBE-GGA) on Ba2NaCd3 after structural relaxation.

```
Ba2NaCd3
1.0
6.649 0.059 -1.764
-2.109 6.306 -1.764
-0.046 -0.065 10.252
Ba Na Cd
4 2 6
Direct
0.250 0.750 0.500
0.747 0.747 0.000
0.750 0.250 0.500
0.253 0.253 0.000
0.333 0.333 0.666
0.667 0.667 0.334
0.675 0.162 0.837
0.838 0.325 0.163
0.325 0.838 0.163
0.162 0.675 0.837
0.837 0.837 0.674
0.163 0.163 0.326
```

Final energy ... -1.54 eV per atom
ΔH_f (0 K) ... -0.22 eV per atom
Crystal system ... orthorhombic
Fermi-level density of states ... 5.2 states/eV/f.u.
Magnetization ... 0.0 μB per cell

VASP calculation (PBE-GGA) on TmTh2Ga after structural relaxation.

```
TmTh2Ga
1.0
-1.885 3.003 0.753
-4.132 -1.775 -3.266
-2.337 -2.556 4.346
Tm Ga Th
1 1 2
Direct
0.500 0.500 0.500
0.500 0.000 0.000
0.000 0.000 0.500
0.000 0.500 0.000
```

Final energy ... -5.65 eV per atom
ΔH_f (0 K) ... -0.07 eV per atom
Crystal system ... tetragonal
Fermi-level density of states ... 4.5 states/eV/f.u.
Magnetization ... 0.0 μB per cell
Excess energy over the best structure of this formula in the dataset ... 55 meV per atom

VASP calculation (PBE-GGA) on TiMoS3 after structural relaxation.

```
TiMoS3
1.0
-1.526 -5.433 0.744
0.767 -3.772 -4.193
5.434 -4.364 1.056
Ti Mo S
2 2 6
Direct
0.168 0.168 0.496
0.832 0.832 0.504
0.334 0.334 0.997
0.666 0.666 0.003
0.248 0.924 0.247
0.924 0.582 0.247
0.582 0.248 0.247
0.752 0.418 0.753
0.076 0.752 0.753
0.418 0.076 0.753
```

Final energy ... -7.02 eV per atom
Crystal system ... trigonal
Formation energy from raw total energies ... -18.401 kcal/mol of atoms
Fermi-level density of states ... 2.5 states/eV/f.u.
Magnetization ... 2.0 μB per cell
Excess energy over the best structure of this formula in the dataset ... 277 meV per atom

VASP calculation (PBE-GGA) on Li2TbDy after structural relaxation.

```
Li2TbDy
1.0
3.315 0.000 0.000
1.658 2.871 0.000
1.658 0.957 11.781
Li Tb Dy
2 1 1
Direct
0.088 0.088 0.735
0.912 0.912 0.265
0.500 0.500 0.500
0.000 0.000 0.000
```

Final energy ... -2.98 eV per atom
ΔH_f (0 K) ... 0.29 eV per atom
Crystal system ... trigonal
Fermi-level density of states ... 3.4 states/eV/f.u.
Magnetization ... 0.0 μB per cell
Excess energy over the best structure of this formula in the dataset ... 132 meV per atom

VASP calculation (PBE-GGA) on TbPr2Er3 after structural relaxation.

```
TbPr2Er3
1.0
-1.662 -5.182 -1.702
4.871 -4.495 -0.621
7.179 -8.849 10.386
Tb Pr Er
2 4 6
Direct
0.334 0.664 0.667
0.666 0.336 0.333
0.875 0.373 0.876
0.125 0.627 0.124
0.625 0.125 0.625
0.375 0.875 0.375
0.167 0.832 0.833
0.833 0.168 0.167
0.583 0.916 0.917
0.417 0.084 0.083
0.917 0.583 0.583
0.083 0.417 0.417
```

Final energy ... -4.57 eV per atom
ΔH_f (0 K) ... 0.07 eV per atom
Crystal system ... monoclinic
Fermi-level density of states ... 8.3 states/eV/f.u.
Magnetization ... 0.0 μB per cell
Excess energy over the best structure of this formula in the dataset ... 0 meV per atom

VASP calculation (PBE-GGA) on PrSm2HoTm2 after structural relaxation.

```
PrSm2HoTm2
1.0
3.516 0.000 0.000
0.000 16.246 0.000
0.000 0.000 6.961
Pr Sm Ho Tm
2 4 2 4
Direct
0.000 0.000 0.000
0.500 0.500 0.500
0.500 0.839 0.252
0.500 0.161 0.748
0.000 0.661 0.752
0.000 0.339 0.248
0.500 0.500 0.000
0.000 0.000 0.500
0.500 0.153 0.249
0.000 0.653 0.251
0.500 0.847 0.751
0.000 0.347 0.749
```

Final energy ... -4.46 eV per atom
ΔH_f (0 K) ... 0.16 eV per atom
Crystal system ... orthorhombic
Fermi-level density of states ... 9.1 states/eV/f.u.
Magnetization ... 0.0 μB per cell